# Y2Ho4Al

Crystalline Y2Ho4Al at its relaxed geometry (GGA-PBE, the Alexandria database).

Calculated formation energy = -43 meV per atom
Total moment = 1.6 μB/cell
Density of states at the Fermi level = 9.92 states/eV per cell
Crystal system = trigonal
Symmetry = R-3m

Geometry as CIF:
```
data_Y2Ho4Al
_chemical_formula_sum 'Y2 Ho4 Al1'
_cell_length_a 18.926
_cell_length_b 18.926
_cell_length_c 18.926
_cell_angle_alpha 10.92
_cell_angle_beta 10.92
_cell_angle_gamma 10.92
_space_group_name_H-M_alt 'P 1'
_space_group_IT_number 1
_space_group_name_Hall 'P 1'
loop_
_atom_site_label
_atom_site_fract_x
_atom_site_fract_y
_atom_site_fract_z
_atom_site_occupancy
Y1 0.192 0.192 0.192 1
Y2 0.808 0.808 0.808 1
Ho1 0.091 0.091 0.091 1
Ho2 0.294 0.294 0.294 1
Ho3 0.706 0.706 0.706 1
Ho4 0.909 0.909 0.909 1
Al1 0.000 0.000 0.000 1
```

***

# PuUI

Crystalline PuUI at its relaxed geometry (GGA-PBE, the Alexandria database).

Total moment = 6.7 μB/cell
Density of states at the Fermi level = 8.81 states/eV per cell
Crystal system = monoclinic
Symmetry = C2/m
ΔE_f (raw) = -0.026 eV per atom

Geometry as CIF:
```
data_PuUI
_chemical_formula_sum 'Pu2 U2 I2'
_cell_length_a 7.189
_cell_length_b 7.189
_cell_length_c 7.029
_cell_angle_alpha 119.18
_cell_angle_beta 119.18
_cell_angle_gamma 29.41
_space_group_name_H-M_alt 'P 1'
_space_group_IT_number 1
_space_group_name_Hall 'P 1'
loop_
_atom_site_label
_atom_site_fract_x
_atom_site_fract_y
_atom_site_fract_z
_atom_site_occupancy
Pu1 0.226 0.226 0.272 1
Pu2 0.774 0.774 0.728 1
U1 0.175 0.175 0.787 1
U2 0.825 0.825 0.213 1
I1 0.461 0.461 0.710 1
I2 0.539 0.539 0.290 1
```

***

# Sr3Ac2Pt2

Crystalline Sr3Ac2Pt2 at its relaxed geometry (GGA-PBE, the Alexandria database).

Calculated formation energy = -630 meV per atom
Total moment = 0.0 μB/cell
Density of states at the Fermi level = 6.61 states/eV per cell
Crystal system = triclinic
Symmetry = P-1

Geometry as CIF:
```
data_Sr3Ac2Pt2
_chemical_formula_sum 'Sr3 Ac2 Pt2'
_cell_length_a 4.188
_cell_length_b 7.403
_cell_length_c 9.310
_cell_angle_alpha 105.51
_cell_angle_beta 90.06
_cell_angle_gamma 106.43
_space_group_name_H-M_alt 'P 1'
_space_group_IT_number 1
_space_group_name_Hall 'P 1'
loop_
_atom_site_label
_atom_site_fract_x
_atom_site_fract_y
_atom_site_fract_z
_atom_site_occupancy
Sr1 0.000 0.000 0.000 1
Sr2 0.119 0.239 0.406 1
Sr3 0.881 0.761 0.594 1
Ac1 0.320 0.641 0.178 1
Ac2 0.680 0.359 0.822 1
Pt1 0.331 0.661 0.841 1
Pt2 0.669 0.339 0.159 1
```

***

What is the total moment in the first record? 1.6 μB/cell